Record 1
A geometry-optimized Li2FePt structure. Source: the Alexandria database, functional PBE-GGA.

Cell and atoms, written as POSCAR:
```
Li2FePt
1.0
1.376 -2.263 0.000
1.376 2.263 0.000
0.000 0.000 8.928
Li Fe Pt
2 1 1
direct
0.000 0.000 0.245
0.000 0.000 0.755
0.500 0.500 0.500
0.500 0.500 0.000
```

Properties
Symmetry = Cmmm, No. 65
Formation energy = -119 meV/atom

---

Record 2
A geometry-optimized LiFe2Pt structure. Source: the Alexandria database, functional PBE-GGA.

Cell and atoms, written as POSCAR:
```
LiFe2Pt
1.0
4.306 -1.348 0.000
4.306 1.348 0.000
-0.917 0.000 4.546
Li Fe Pt
1 2 1
direct
0.000 0.000 0.000
0.499 0.499 0.495
0.762 0.762 0.261
0.245 0.245 0.760
```

Properties
Symmetry = Cm, No. 8
Formation energy = -89 meV/atom

---

no.,total DFT energy (no corrections) (eV per atom)
1,-4.702
2,-6.309